No. 1
Material: Nd8Sm6Cd
Method: DFT, PBE-GGA
State: optimized geometry

a = 9.5240 Å, b = 9.5240 Å, c = 6.5436 Å
α = 90.00°, β = 90.00°, γ = 120.00°
Last column: nearest neighbours and their distance in Å.
Positions (direct):
Nd 0.0407 0.2684 0.1841  1 Cd 3.16, 3 Nd 3.39-3.41, 1 Sm 3.41
Nd 0.2276 0.9593 0.1841  1 Cd 3.16, 3 Nd 3.39-3.41, 1 Sm 3.41
Nd 0.2684 0.2276 0.8159  1 Cd 3.16, 3 Nd 3.39-3.41, 1 Sm 3.41
Nd 0.3333 0.6667 0.1476  3 Nd 3.41, 3 Sm 3.79
Nd 0.6667 0.3333 0.8524  3 Nd 3.41, 3 Sm 3.79
Nd 0.7316 0.7724 0.1841  1 Cd 3.16, 3 Nd 3.39-3.41, 1 Sm 3.41
Nd 0.7724 0.0407 0.8159  1 Cd 3.16, 3 Nd 3.39-3.41, 1 Sm 3.41
Nd 0.9593 0.7316 0.8159  1 Cd 3.16, 3 Nd 3.39-3.41, 1 Sm 3.41
Sm 0.0940 0.4495 0.6730  1 Sm 3.31, 5 Nd 3.41-3.68
Sm 0.3556 0.9060 0.6730  1 Sm 3.31, 5 Nd 3.41-3.68
Sm 0.4495 0.3556 0.3270  1 Sm 3.31, 5 Nd 3.41-3.68
Sm 0.5505 0.6444 0.6730  1 Sm 3.31, 5 Nd 3.41-3.68
Sm 0.6444 0.0940 0.3270  1 Sm 3.31, 5 Nd 3.41-3.68
Sm 0.9060 0.5505 0.3270  1 Sm 3.31, 5 Nd 3.41-3.68
Cd 0.0000 0.0000 0.5000  6 Nd 3.16

Results
The calculation puts the spin magnetization at 0.00 μB/cell. The value obtained for the final energy is -66.1 eV per cell. The value obtained for the formation energy is 1.237 eV per formula unit.

=====

No. 2
Material: CaTa2ZnW
Method: DFT, PBE-GGA
State: optimized geometry

a = 4.6974 Å, b = 4.6974 Å, c = 4.5589 Å
α = 90.00°, β = 90.00°, γ = 90.00°
Last column: nearest neighbours and their distance in Å.
Positions (direct):
Ca 0.0000 0.0000 0.0000  2 Zn 2.28, 4 Ta 2.35
Ta 0.0000 0.5000 0.0000  2 Ca 2.35
Ta 0.5000 0.0000 0.0000  2 Ca 2.35
Zn 0.0000 0.0000 0.5000  2 Ca 2.28
W 0.5000 0.5000 0.5000  8 Ta 3.27, 4 Zn 3.32

Results
The calculation puts the spin magnetization at 0.00 μB/cell. The value obtained for the final energy is -27.0 eV per cell. The value obtained for the formation energy is 12.980 eV per formula unit. The calculation puts the distance to the lowest polymorph of the same formula at 5.82 eV/f.u.

=====

No. 3
Material: BaNd2Au
Method: DFT, PBE-GGA
State: optimized geometry

a = 3.8230 Å, b = 3.8230 Å, c = 9.8225 Å
α = 90.00°, β = 90.00°, γ = 90.00°
Last column: nearest neighbours and their distance in Å.
Positions (direct):
Ba 0.0000 0.0000 0.0000  4 Ba 3.82, 8 Nd 4.21
Nd 0.5000 0.5000 0.3292  4 Au 3.18, 1 Nd 3.36
Nd 0.5000 0.5000 0.6708  4 Au 3.18, 1 Nd 3.36
Au 0.0000 0.0000 0.5000  8 Nd 3.18

Results
The calculation puts the spin magnetization at 0.01 μB/cell. The value obtained for the final energy is -15.8 eV per cell. The value obtained for the formation energy is -1.056 eV per formula unit. The calculation puts the distance to the lowest polymorph of the same formula at 0.00 eV/f.u.

=====

No. 4
Material: Sm4Y6Ho
Method: DFT, PBE-GGA
State: optimized geometry

a = 8.5422 Å, b = 8.5422 Å, c = 8.5422 Å
α = 126.91°, β = 126.91°, γ = 78.40°
Last column: nearest neighbours and their distance in Å.
Positions (direct):
Sm 0.2516 0.2516 0.6553  3 Y 3.00-3.24, 2 Sm 3.31
Sm 0.4037 0.7484 0.0000  3 Y 3.00-3.24, 2 Sm 3.31
Sm 0.5963 0.5963 0.3447  3 Y 3.00-3.24, 2 Sm 3.31
Sm 0.7484 0.4037 0.0000  3 Y 3.00-3.24, 2 Sm 3.31
Y 0.0000 0.5000 0.5000  4 Sm 3.00
Y 0.0524 0.5771 0.0000  2 Sm 3.24-3.59, 1 Ho 3.55
Y 0.4229 0.4229 0.4753  2 Sm 3.24-3.59, 1 Ho 3.55
Y 0.5000 0.0000 0.5000  4 Sm 3.00
Y 0.5771 0.0524 0.0000  2 Sm 3.24-3.59, 1 Ho 3.55
Y 0.9476 0.9476 0.5247  2 Sm 3.24-3.59, 1 Ho 3.55
Ho 0.0000 0.0000 0.0000  8 Y 3.55-3.82, 4 Sm 3.68

Results
The calculation puts the spin magnetization at 0.00 μB/cell. The value obtained for the final energy is -57.5 eV per cell. The value obtained for the formation energy is 4.740 eV per formula unit. The calculation puts the distance to the lowest polymorph of the same formula at 3.43 eV/f.u.

=====

No. 5
Material: TlHgMo3
Method: DFT, PBE-GGA
State: optimized geometry

a = 4.9790 Å, b = 4.9790 Å, c = 4.9790 Å
α = 90.00°, β = 90.00°, γ = 90.00°
Last column: nearest neighbours and their distance in Å.
Positions (direct):
Tl 0.0000 0.0000 0.0000  12 Mo 3.52
Hg 0.5000 0.5000 0.5000  6 Mo 2.49
Mo 0.0000 0.5000 0.5000  2 Hg 2.49
Mo 0.5000 0.0000 0.5000  2 Hg 2.49
Mo 0.5000 0.5000 0.0000  2 Hg 2.49

Results
The calculation puts the spin magnetization at 2.45 μB/cell. The value obtained for the final energy is -23.0 eV per cell. The value obtained for the formation energy is 12.178 eV per formula unit. The calculation puts the distance to the lowest polymorph of the same formula at 0.00 eV/f.u.

=====

No. 6
Material: V5Cr2Ir
Method: DFT, PBE-GGA
State: optimized geometry

a = 7.2961 Å, b = 7.2961 Å, c = 7.2961 Å
α = 130.49°, β = 130.49°, γ = 72.62°
Last column: nearest neighbours and their distance in Å.
Positions (direct):
V 0.0000 0.0000 0.0000  4 Cr 2.33
V 0.0081 0.5081 0.8206  3 Cr 2.43-2.60, 2 Ir 2.57
V 0.1876 0.0081 0.5000  3 Cr 2.43-2.60, 2 Ir 2.57
V 0.3124 0.8124 0.8206  3 Cr 2.43-2.60, 2 Ir 2.57
V 0.4919 0.3124 0.5000  3 Cr 2.43-2.60, 2 Ir 2.57
V 0.5000 0.5000 0.0000  4 Cr 2.33
V 0.5081 0.6876 0.5000  3 Cr 2.43-2.60, 2 Ir 2.57
V 0.6876 0.1876 0.1794  3 Cr 2.43-2.60, 2 Ir 2.57
V 0.8124 0.9919 0.5000  3 Cr 2.43-2.60, 2 Ir 2.57
V 0.9919 0.4919 0.1794  3 Cr 2.43-2.60, 2 Ir 2.57
Cr 0.1494 0.3506 0.5000  8 V 2.33-2.60, 1 Cr 2.58
Cr 0.3506 0.8506 0.2013  8 V 2.33-2.60, 1 Cr 2.58
Cr 0.6494 0.1494 0.7987  8 V 2.33-2.60, 1 Cr 2.58
Cr 0.8506 0.6494 0.5000  8 V 2.33-2.60, 1 Cr 2.58
Ir 0.2500 0.2500 0.0000  8 V 2.57
Ir 0.7500 0.7500 0.0000  8 V 2.57

Results
The calculation puts the spin magnetization at 0.00 μB/cell. The value obtained for the final energy is -146.0 eV per cell. The value obtained for the formation energy is 0.697 eV per formula unit.

=====

No. 7
Material: ScAg2BiSe4
Method: DFT, PBE-GGA
State: optimized geometry

a = 7.0062 Å, b = 4.0694 Å, c = 7.1383 Å
α = 90.00°, β = 110.05°, γ = 90.00°
Last column: nearest neighbours and their distance in Å.
Positions (direct):
Sc 0.0000 0.0000 0.0000  6 Se 2.79
Ag 0.5000 0.0000 0.5000  6 Se 2.96-3.01
Ag 0.5000 0.5000 0.0000  6 Se 2.82-2.87
Bi 0.0000 0.5000 0.5000  6 Se 2.93
Se 0.2379 0.5000 0.2331  2 Sc 2.79, 3 Ag 2.87-2.96, 1 Bi 2.93
Se 0.2506 0.0000 0.7696  1 Sc 2.79, 3 Ag 2.82-3.01, 2 Bi 2.93
Se 0.7494 0.0000 0.2304  1 Sc 2.79, 3 Ag 2.82-3.01, 2 Bi 2.93
Se 0.7621 0.5000 0.7669  2 Sc 2.79, 3 Ag 2.87-2.96, 1 Bi 2.93

Results
As for the formation energy (no corrections): -5.10 eV per formula unit. The calculation puts the spin magnetization at 0.00 μB/cell. The value obtained for the final energy is -35.0 eV per cell.

=====

No. 8
Material: SmPu2O6
Method: DFT, PBE-GGA
State: optimized geometry

a = 3.8517 Å, b = 3.8517 Å, c = 9.2190 Å
α = 90.00°, β = 90.00°, γ = 120.00°
Last column: nearest neighbours and their distance in Å.
Positions (direct):
Sm 0.0000 0.0000 0.0000  8 O 2.41-2.49
Pu 0.3333 0.6667 0.6642  8 O 2.17-2.35
Pu 0.6667 0.3333 0.3358  8 O 2.17-2.35
O 0.0000 0.0000 0.2696  3 Pu 2.31, 1 Sm 2.49
O 0.0000 0.0000 0.7304  3 Pu 2.31, 1 Sm 2.49
O 0.3333 0.6667 0.4187  4 Pu 2.26-2.35
O 0.3333 0.6667 0.8991  1 Pu 2.17, 3 Sm 2.41
O 0.6667 0.3333 0.1009  1 Pu 2.17, 3 Sm 2.41
O 0.6667 0.3333 0.5813  4 Pu 2.26-2.35

Results
As for the formation energy (no corrections): -28.29 eV per formula unit. The calculation puts the spin magnetization at 7.00 μB/cell. The value obtained for the final energy is -91.4 eV per cell.